This record from Alexandria describes Cs2Sr2NbS6 after structural relaxation. The functional is PBE.

Output
total DFT energy (no corrections) = -4.923 eV per atom
formation energy without anion corrections = -1.2954 eV per atom
theoretical density = 3.3 g/cm³

abc: 7.2808 12.2491 8.5005
angles: 90.00 106.94 90.00
Closest atoms and distances in Å follow each position.
Space group C2/m (No. 12)
One atom of each set of equivalent atoms:
Cs: 0.0000 0.1740 0.0000  6 S 3.46-3.71
Sr: 0.0000 0.3359 0.5000  6 S 2.96-2.99
Nb: 0.0000 0.0000 0.5000  6 S 2.50
S: 0.2039 0.1426 0.6784  1 Nb 2.50
S: 0.2181 0.0000 0.3206  1 Nb 2.50

This record from Alexandria describes Cs3Tb3NbS8 after structural relaxation. The functional is PBE.

Output
total DFT energy (no corrections) = -5.599 eV per atom
formation energy without anion corrections = -1.6291 eV per atom
theoretical density = 4.5 g/cm³

abc: 7.9581 7.9581 24.6627
angles: 90.00 90.00 120.00
Closest atoms and distances in Å follow each position.
Space group R-3m (No. 166, hexagonal axes)
One atom of each set of equivalent atoms:
Cs: 0.0000 0.5000 0.0000  6 S 3.47-3.48
Tb: 0.0000 0.5000 0.5000  6 S 2.75-2.78
Nb: 0.0000 0.0000 0.5000  6 S 2.57
S: 0.0000 0.0000 0.2277  3 Tb 2.75
S: 0.0235 0.5118 0.2245  1 Nb 2.57, 2 Tb 2.78

This record from Alexandria describes CsNb2TeS after structural relaxation. The functional is PBE.

Output
total DFT energy (no corrections) = -2.882 eV per atom
formation energy without anion corrections = 2.7705 eV per atom
theoretical density = 4.9 g/cm³

abc: 5.1142 5.1142 6.2389
angles: 90.00 90.00 90.00
Closest atoms and distances in Å follow each position.
Space group P4/mmm (No. 123)
One atom of each set of equivalent atoms:
Cs: 0.0000 0.0000 0.0000  4 Nb 2.56
Nb: 0.0000 0.5000 0.0000  2 Cs 2.56
Te: 0.0000 0.0000 0.5000  2 Cs 3.12
S: 0.5000 0.5000 0.5000  4 Te 3.62, 8 Nb 4.03

This record from Alexandria describes Cs3NbTl2S6 after structural relaxation. The functional is PBE.

Output
total DFT energy (no corrections) = -4.288 eV per atom
formation energy without anion corrections = -0.7775 eV per atom
theoretical density = 5.2 g/cm³

abc: 7.2028 12.4780 8.1633
angles: 90.00 106.76 90.00
Closest atoms and distances in Å follow each position.
Space group C2/m (No. 12)
One atom of each set of equivalent atoms:
Cs: 0.0000 0.0000 0.0000  6 S 3.39-3.67
Cs: 0.0000 0.3226 0.0000  6 S 3.39-3.63
Nb: 0.0000 0.5000 0.5000  6 S 2.51
Tl: 0.0000 0.1650 0.5000  6 S 2.91-2.95
S: 0.2044 0.3558 0.6777  1 Nb 2.51
S: 0.2255 0.5000 0.3156  1 Nb 2.51

This record from Alexandria describes CsNb2Tl2S7 after structural relaxation. The functional is PBE.

Output
total DFT energy (no corrections) = -5.219 eV per atom
formation energy without anion corrections = -0.6671 eV per atom
theoretical density = 3.1 g/cm³

abc: 7.3066 7.3066 32.9338
angles: 90.00 90.00 120.00
Closest atoms and distances in Å follow each position.
Space group R32 (No. 155, hexagonal axes)
One atom of each set of equivalent atoms:
Cs: 0.0000 0.0000 0.0000  6 S 3.60
Nb: 0.0000 0.0000 0.4286  4 S 2.27-2.35
Tl: 0.0000 0.0000 0.2173  3 S 2.89
S: 0.0000 0.0000 0.5000  2 Nb 2.35
S: 0.0214 0.3019 0.4051  1 Nb 2.27

This record from Alexandria describes Cs2NbTlS4 after structural relaxation. The functional is PBE.

Output
total DFT energy (no corrections) = -4.814 eV per atom
formation energy without anion corrections = -0.9827 eV per atom
theoretical density = 3.5 g/cm³

abc: 7.3613 13.9350 25.2780
angles: 90.00 90.00 90.00
Closest atoms and distances in Å follow each position.
Space group Fddd (No. 70, origin choice 2)
One atom of each set of equivalent atoms:
Cs: 0.1250 0.1250 0.3079  4 S 3.71-3.89
Nb: 0.1250 0.1250 0.6250  4 S 2.30
Tl: 0.1250 0.1250 0.1250  4 S 2.96
S: 0.0610 0.2797 0.8242  1 Nb 2.30

This record from Alexandria describes Cs3U3NbS8 after structural relaxation. The functional is PBE.

Output
total DFT energy (no corrections) = -6.600 eV per atom
formation energy without anion corrections = -1.2990 eV per atom
theoretical density = 5.4 g/cm³

abc: 7.8914 7.8914 24.8745
angles: 90.00 90.00 120.00
Closest atoms and distances in Å follow each position.
Space group R-3m (No. 166, hexagonal axes)
One atom of each set of equivalent atoms:
Cs: 0.0000 0.5000 0.0000  6 S 3.46-3.49
U: 0.0000 0.5000 0.5000  6 S 2.75
Nb: 0.0000 0.0000 0.5000  6 S 2.62
S: 0.0000 0.0000 0.2285  3 U 2.75
S: 0.0150 0.5075 0.2253  1 Nb 2.62, 2 U 2.75

This record from Alexandria describes Cs3Y3NbS8 after structural relaxation. The functional is PBE.

Output
total DFT energy (no corrections) = -5.969 eV per atom
formation energy without anion corrections = -1.6331 eV per atom
theoretical density = 3.8 g/cm³

abc: 7.9343 7.9343 24.6547
angles: 90.00 90.00 120.00
Closest atoms and distances in Å follow each position.
Space group R-3m (No. 166, hexagonal axes)
One atom of each set of equivalent atoms:
Cs: 0.0000 0.5000 0.0000  6 S 3.47-3.48
Y: 0.0000 0.5000 0.5000  6 S 2.74-2.77
Nb: 0.0000 0.0000 0.5000  6 S 2.57
S: 0.0000 0.0000 0.2275  3 Y 2.74
S: 0.0227 0.5114 0.2246  1 Nb 2.57, 2 Y 2.77

This record from Alexandria describes Cs6NbSb4 after structural relaxation. The functional is PBE.

Output
total DFT energy (no corrections) = -3.261 eV per atom
formation energy without anion corrections = -0.3807 eV per atom
theoretical density = 4.0 g/cm³

abc: 11.7992 11.7992 9.5294
angles: 90.00 90.00 120.00
Closest atoms and distances in Å follow each position.
Space group P6_3mc (No. 186)
One atom of each set of equivalent atoms:
Cs: 0.0641 0.5320 0.0000  6 Sb 3.94-4.39, 1 Nb 4.19, 2 Cs 4.33
Cs: 0.1443 0.2887 0.3172  4 Sb 3.83-3.93
Nb: 0.3333 0.6667 0.6072  4 Sb 2.70-2.72
Sb: 0.2070 0.4140 0.6960  1 Nb 2.72
Sb: 0.3333 0.6667 0.3242  1 Nb 2.70

This record from Alexandria describes CsNbSb3 after structural relaxation. The functional is PBE.

Output
total DFT energy (no corrections) = -2.362 eV per atom
polymorph energy (0 for the lowest one) = 2.3297 eV per atom
formation energy without anion corrections = 2.2961 eV per atom
theoretical density = 4.8 g/cm³

abc: 5.8826 5.8826 5.8826
angles: 90.00 90.00 90.00
Closest atoms and distances in Å follow each position.
Space group Pm-3m (No. 221)
One atom of each set of equivalent atoms:
Cs: 0.0000 0.0000 0.0000  6 Sb 2.94
Nb: 0.5000 0.5000 0.5000  12 Sb 4.16
Sb: 0.0000 0.0000 0.5000  2 Cs 2.94

This record from Alexandria describes CsNbSb2 after structural relaxation. The functional is PBE.

Output
total DFT energy (no corrections) = -4.918 eV per atom
formation energy without anion corrections = -0.1257 eV per atom
theoretical density = 6.3 g/cm³

abc: 3.8355 3.8355 29.0745
angles: 90.00 90.00 120.00
Closest atoms and distances in Å follow each position.
Space group R-3m (No. 166, hexagonal axes)
One atom of each set of equivalent atoms:
Cs: 0.0000 0.0000 0.0000  6 Sb 3.75, 6 Cs 3.84
Nb: 0.0000 0.0000 0.5000  6 Sb 2.86
Sb: 0.0000 0.0000 0.2290  3 Nb 2.86

This record from Alexandria describes Cs3NbSb after structural relaxation. The functional is PBE.

Output
total DFT energy (no corrections) = -2.334 eV per atom
polymorph energy (0 for the lowest one) = 0.0000 eV per atom
formation energy without anion corrections = 1.0165 eV per atom
theoretical density = 2.6 g/cm³

abc: 7.3620 7.3620 7.3620
angles: 90.00 90.00 90.00
Closest atoms and distances in Å follow each position.
Space group Pm-3m (No. 221)
One atom of each set of equivalent atoms:
Cs: 0.0000 0.0000 0.5000  2 Sb 3.68
Nb: 0.5000 0.5000 0.5000  12 Cs 5.21
Sb: 0.0000 0.0000 0.0000  6 Cs 3.68